# 1
DFT (GGA-PBEsol) results for an optimized crystal structure of NaNb2S4.

Properties
* space group: P3m1
* crystal system: trigonal
* formation energy without anion corrections: -8.34 eV per formula unit
* N(E_F): 3.526 states/eV/f.u.
* VASP energy: -6.989 eV per atom

a = 3.361 Å, b = 3.361 Å, c = 13.645 Å
α = 90.00°, β = 90.00°, γ = 120.00°
Fractional positions:
Nb 0.667 0.333 0.263
Nb 0.000 0.000 0.737
S 0.333 0.667 0.148
S 0.333 0.667 0.374
S 0.333 0.667 0.627
S 0.333 0.667 0.853
Na 0.667 0.333 0.999

# 2
DFT (GGA-PBEsol) results for an optimized crystal structure of NaNb6S8.

Properties
* space group: P-3
* crystal system: trigonal
* formation energy without anion corrections: -17.84 eV per formula unit
* N(E_F): 3.799 states/eV/f.u.
* VASP energy: -7.950 eV per atom

a = 3.384 Å, b = 9.510 Å, c = 9.510 Å
α = 120.00°, β = 90.00°, γ = 90.00°
Fractional positions:
Nb 0.749 0.887 0.374
Nb 0.749 0.626 0.513
Nb 0.251 0.513 0.887
Nb 0.251 0.374 0.487
Nb 0.251 0.113 0.626
Nb 0.749 0.487 0.113
Na 0.500 0.000 0.000
S 0.249 0.660 0.716
S 0.249 0.056 0.340
S 0.751 0.340 0.284
S 0.249 0.284 0.944
S 0.751 0.716 0.056
S 0.751 0.944 0.660
S 0.750 0.333 0.667
S 0.250 0.667 0.333